# LaBeGa2Pd4

Crystalline LaBeGa2Pd4 at its relaxed geometry (GGA-PBE, the Alexandria database).

Cell: 4.2798 4.2798 9.0144 Å, 76.27 76.27 60.00°
Element x y z (fractional)
La 0.0000 0.0000 0.0000
Be 0.5000 0.5000 0.5000
Ga 0.7623 0.7623 0.7130
Ga 0.2377 0.2377 0.2870
Pd 0.4091 0.4091 0.7727
Pd 0.8629 0.8629 0.4112
Pd 0.1371 0.1371 0.5888
Pd 0.5909 0.5909 0.2273

Results
Formation energy from the elements, meV per atom: -696
Space group: R-3m
DFT total energy, eV/cell: -41.045
Total magnetic moment, μB per formula unit: 0.00


# KCeMnS3

Crystalline KCeMnS3 at its relaxed geometry (GGA-PBE, the Alexandria database).

Cell: 4.1392 8.8497 9.2917 Å, 104.90 90.00 90.00°
Last column: magnetic moment on the atom in μB.
Element x y z (fractional)
K 0.7500 0.8075 0.7751  0.00
K 0.2500 0.1925 0.2249  0.00
Ce 0.2500 0.6681 0.1587  0.73
Ce 0.7500 0.3319 0.8413  0.73
Mn 0.2500 0.0842 0.5975  3.75
Mn 0.7500 0.9158 0.4025  3.75
S 0.2500 0.8097 0.4693  0.06
S 0.7500 0.8798 0.1443  0.01
S 0.7500 0.4517 0.1527  -0.01
S 0.7500 0.1903 0.5307  0.06
S 0.2500 0.5483 0.8473  -0.01
S 0.2500 0.1202 0.8557  0.01

Results
Space group: P2_1/m
DFT total energy, eV/cell: -73.688
Total magnetic moment, μB per formula unit: 5.08


# Er6Mg2N

Crystalline Er6Mg2N at its relaxed geometry (GGA-PBE, the Alexandria database).

Cell: 6.8922 6.9061 9.6856 Å, 90.00 89.98 90.00°
Element x y z (fractional)
Er 0.9620 0.0000 0.2560
Er 0.7567 0.7559 0.5192
Er 0.7436 0.7437 0.9809
Er 0.7564 0.2437 0.5191
Er 0.7433 0.2559 0.9808
Er 0.5380 0.5000 0.2440
Er 0.0380 0.0000 0.7440
Er 0.2433 0.2441 0.4808
Er 0.2564 0.2563 0.0191
Er 0.2436 0.7563 0.4809
Er 0.2567 0.7441 0.0192
Er 0.4620 0.5000 0.7560
Mg 0.0000 0.5000 0.7498
Mg 0.5000 0.0000 0.7502
Mg 0.5000 0.0000 0.2498
Mg 0.0000 0.5000 0.2502
N 0.5000 0.5000 0.0000
N 0.0000 0.0000 0.5000

Results
Space group: C2/m
DFT total energy, eV/cell: -84.403
Total magnetic moment, μB per formula unit: 0.00


# TlInN2O

Crystalline TlInN2O at its relaxed geometry (GGA-PBE, the Alexandria database).

Cell: 4.4605 4.4605 4.2851 Å, 90.00 90.00 90.00°
Last column: magnetic moment on the atom in μB.
Element x y z (fractional)
Tl 0.5000 0.5000 0.5000  0.13
N 0.0000 0.5000 0.0000  1.17
N 0.5000 0.0000 0.0000  1.17
O 0.0000 0.0000 0.5000  0.40
In 0.0000 0.0000 0.0000  -0.01

Results
Space group: P4/mmm
DFT total energy, eV/cell: -21.831
Total magnetic moment, μB per formula unit: 4.00


# TiSe2Br

Crystalline TiSe2Br at its relaxed geometry (GGA-PBE, the Alexandria database).

Cell: 4.8323 4.8323 4.8323 Å, 60.00 60.00 60.00°
Element x y z (fractional)
Se 0.2500 0.2500 0.2500
Se 0.7500 0.7500 0.7500
Br 0.5000 0.5000 0.5000
Ti 0.0000 0.0000 0.0000

Results
Energy above the lowest structure with this stoichiometry, meV per atom: 748
Space group: Fm-3m
DFT total energy, eV/cell: -16.428
Total magnetic moment, μB per formula unit: 0.00